[1]
Computed, not measured: a relaxed Tb2Pr3Cd3 crystal at the PBE-GGA level of DFT.

Calculated values
Spin magnetization: 0.002 μB per cell
ΔH_f (0 K): -237 meV per atom

Cell lengths 3.808, 5.552, 11.828 Å; angles 103.57, 99.26, 90.00 degrees
Sites, in units of the cell vectors:
Tb  0.735  0.235  0.470
Tb  0.265  0.765  0.530
Pr  0.624  0.624  0.248
Pr  0.376  0.376  0.752
Pr  0.500  0.000  0.000
Cd  0.121  0.121  0.243
Cd  0.000  0.500  0.000
Cd  0.879  0.879  0.757

[2]
Computed, not measured: a relaxed Tb6Pr3Cd crystal at the PBE-GGA level of DFT.

Calculated values
Spin magnetization: 0.000 μB per cell
ΔH_f (0 K): 77 meV per atom

Cell lengths 6.399, 10.242, 10.242 Å; angles 100.79, 90.00, 90.00 degrees
Sites, in units of the cell vectors:
Tb  0.091  0.676  0.566
Tb  0.591  0.566  0.676
Tb  0.407  0.593  0.991
Tb  0.907  0.991  0.593
Tb  0.266  0.953  0.047
Tb  0.588  0.249  0.751
Tb  0.088  0.751  0.249
Tb  0.766  0.047  0.953
Tb  0.407  0.009  0.407
Tb  0.907  0.407  0.009
Tb  0.091  0.434  0.324
Tb  0.591  0.324  0.434
Pr  0.441  0.891  0.712
Pr  0.941  0.712  0.891
Pr  0.092  0.356  0.644
Pr  0.592  0.644  0.356
Pr  0.941  0.109  0.288
Pr  0.441  0.288  0.109
Cd  0.161  0.155  0.845
Cd  0.661  0.845  0.155

no.,D(E_F) (states/eV/atom)
1,1.329
2,1.148